The following is a DFT calculation (PBE with a Hubbard U) of a relaxed Mg6Mn4F19 crystal.

Structure (CIF):
```
data_Mg6Mn4F19
_cell_length_a 9.0366
_cell_length_b 9.0366
_cell_length_c 9.0366
_cell_angle_alpha 90.00
_cell_angle_beta 90.00
_cell_angle_gamma 90.00
_space_group_name_H-M_alt 'I 2 3'
_space_group_IT_number 197
_space_group_name_Hall 'I 2 2 3'
loop_
_atom_site_label
_atom_site_type_symbol
_atom_site_fract_x
_atom_site_fract_y
_atom_site_fract_z
Mg1 Mg 0.0000 0.3290 0.5000
Mn1 Mn 0.1460 0.1460 0.8540
F1 F 0.0000 0.0000 0.0000
F2 F 0.0000 0.0000 0.3549
F3 F 0.0495 0.3143 0.7154
```

Results
total DFT energy (no corrections): -325.4 eV per cell
density of states at the Fermi level: 0.0654 states/eV/atom